1.
A plane-wave DFT calculation with PBE was carried out for a geometry-optimized TmAsSe structure.

Summary:
Magnetization (μB per formula unit): 0.00
DFT total energy (eV per formula unit): -16.71
Uncorrected formation energy (eV/atom): -1.369

Lattice parameters (Å, degrees): 3.8716 3.8716 9.1530 102.21 102.21 90.00
With the nearest neighbours (Å) after each atom.
Element x y z (fractional)
As 0.0000 0.5000 0.0000  4 As 2.74
As 0.5000 0.0000 0.0000  4 As 2.74
Tm 0.3601 0.3601 0.7201  5 Se 2.87-3.00, 4 As 3.12
Tm 0.6399 0.6399 0.2799  5 Se 2.87-3.00, 4 As 3.12
Se 0.8116 0.8116 0.6231  5 Tm 2.87-3.00
Se 0.1884 0.1884 0.3769  5 Tm 2.87-3.00

---

2.
A plane-wave DFT calculation with PBE was carried out for a geometry-optimized TmAsSe structure.

Summary:
Magnetization (μB per formula unit): 0.00
DFT total energy (eV per formula unit): -16.73
Uncorrected formation energy (eV/atom): -1.374

Lattice parameters (Å, degrees): 3.8510 7.1785 9.5256 90.00 90.00 90.00
With the nearest neighbours (Å) after each atom.
Element x y z (fractional)
As 0.2500 0.6035 0.4592  2 As 2.55
As 0.7500 0.3965 0.5408  2 As 2.55
As 0.7500 0.8965 0.9592  2 As 2.55
As 0.2500 0.1035 0.0408  2 As 2.55
Se 0.7500 0.9155 0.3467  5 Tm 2.90-3.14, 2 As 3.14
Se 0.2500 0.5845 0.8467  5 Tm 2.90-3.14, 2 As 3.14
Se 0.2500 0.0845 0.6533  5 Tm 2.90-3.14, 2 As 3.14
Se 0.7500 0.4155 0.1533  5 Tm 2.90-3.14, 2 As 3.14
Tm 0.2500 0.2177 0.3394  5 Se 2.90-3.14, 4 As 2.96-3.01
Tm 0.7500 0.7823 0.6606  5 Se 2.90-3.14, 4 As 2.96-3.01
Tm 0.2500 0.7177 0.1606  5 Se 2.90-3.14, 4 As 2.96-3.01
Tm 0.7500 0.2823 0.8394  5 Se 2.90-3.14, 4 As 2.96-3.01

---

3.
A plane-wave DFT calculation with PBE was carried out for a geometry-optimized Tm6AsSe5 structure.

Summary:
Magnetization (μB per formula unit): 0.00
DFT total energy (eV per formula unit): -68.86
Uncorrected formation energy (eV/atom): -1.664

Lattice parameters (Å, degrees): 6.9679 6.9679 6.9842 99.50 99.50 120.08
With the nearest neighbours (Å) after each atom.
Element x y z (fractional)
Tm 0.5948 0.9191 0.7579  1 As 2.77, 5 Se 2.84-2.91
Tm 0.7557 0.7557 0.2434  1 As 2.77, 5 Se 2.85-2.91
Tm 0.2443 0.2443 0.7566  1 As 2.77, 5 Se 2.85-2.91
Tm 0.9191 0.5948 0.7579  1 As 2.77, 5 Se 2.84-2.91
Tm 0.0809 0.4052 0.2421  1 As 2.77, 5 Se 2.84-2.91
Tm 0.4052 0.0809 0.2421  1 As 2.77, 5 Se 2.84-2.91
Se 0.6666 0.3334 0.0000  6 Tm 2.84-2.85
Se 0.3334 0.6666 0.0000  6 Tm 2.84-2.85
Se 0.1694 0.8306 0.5000  6 Tm 2.85-2.91
Se 0.5000 0.5000 0.5000  6 Tm 2.85-2.91
Se 0.8306 0.1694 0.5000  6 Tm 2.85-2.91
As 0.0000 0.0000 0.0000  6 Tm 2.77